1.
## CoAgPO (PBE+U)

Data for a relaxed CoAgPO crystal.

```
data_CoAgPO
_chemical_formula_sum 'Co2 Ag2 P2 O2'
_cell_length_a 3.111
_cell_length_b 6.721
_cell_length_c 5.930
_cell_angle_alpha 90.00
_cell_angle_beta 90.00
_cell_angle_gamma 90.00
_symmetry_space_group_name_H-M 'P 1'
_symmetry_Int_Tables_number 1
loop_
_symmetry_equiv_pos_as_xyz
'x,y,z'
loop_
_atom_site_label
_atom_site_type_symbol
_atom_site_fract_x
_atom_site_fract_y
_atom_site_fract_z
O1 O 0.500 0.633 0.919
P1 P 0.000 0.901 0.326
P2 P 0.000 0.099 0.826
Co1 Co 0.000 0.215 0.470
Ag1 Ag 0.500 0.310 0.039
Ag2 Ag 0.500 0.690 0.539
O2 O 0.500 0.367 0.419
Co2 Co 0.000 0.785 0.970
```

Summary:
DFT total energy	-4.653	eV per atom
SG	No. 26



2.
## CoAgPO (PBE+U)

Data for a relaxed CoAgPO crystal.

```
data_CoAgPO
_chemical_formula_sum 'Co2 Ag2 P2 O2'
_cell_length_a 3.982
_cell_length_b 3.982
_cell_length_c 8.403
_cell_angle_alpha 90.00
_cell_angle_beta 90.00
_cell_angle_gamma 90.00
_symmetry_space_group_name_H-M 'P 1'
_symmetry_Int_Tables_number 1
loop_
_symmetry_equiv_pos_as_xyz
'x,y,z'
loop_
_atom_site_label
_atom_site_type_symbol
_atom_site_fract_x
_atom_site_fract_y
_atom_site_fract_z
Co1 Co 0.500 0.000 0.052
P1 P 0.000 0.500 0.681
Ag1 Ag 0.500 0.500 0.500
O1 O 0.500 0.500 0.000
Ag2 Ag 0.000 0.000 0.500
O2 O 0.000 0.000 0.000
P2 P 0.500 0.000 0.319
Co2 Co 0.000 0.500 0.948
```

Summary:
DFT total energy	-4.678	eV per atom
SG	No. 129



3.
## CoAgPO (PBE+U)

Data for a relaxed CoAgPO crystal.

```
data_CoAgPO
_chemical_formula_sum 'Co2 Ag2 P2 O2'
_cell_length_a 3.751
_cell_length_b 3.751
_cell_length_c 7.229
_cell_angle_alpha 90.00
_cell_angle_beta 90.00
_cell_angle_gamma 90.00
_symmetry_space_group_name_H-M 'P 1'
_symmetry_Int_Tables_number 1
loop_
_symmetry_equiv_pos_as_xyz
'x,y,z'
loop_
_atom_site_label
_atom_site_type_symbol
_atom_site_fract_x
_atom_site_fract_y
_atom_site_fract_z
Co1 Co 0.500 0.500 0.500
Ag1 Ag 0.500 0.000 0.835
P1 P 0.500 0.000 0.343
P2 P 0.000 0.500 0.657
Co2 Co 0.000 0.000 0.500
O1 O 0.500 0.500 0.000
O2 O 0.000 0.000 0.000
Ag2 Ag 0.000 0.500 0.165
```

Summary:
DFT total energy	-4.296	eV per atom
SG	No. 129



Look up the DFT total energy of the first one.
-4.653 eV per atom



What did the first record say?
## CoAgPO (PBE+U)

Data for a relaxed CoAgPO crystal.

```
data_CoAgPO
_chemical_formula_sum 'Co2 Ag2 P2 O2'
_cell_length_a 3.111
_cell_length_b 6.721
_cell_length_c 5.930
_cell_angle_alpha 90.00
_cell_angle_beta 90.00
_cell_angle_gamma 90.00
_symmetry_space_group_name_H-M 'P 1'
_symmetry_Int_Tables_number 1
loop_
_symmetry_equiv_pos_as_xyz
'x,y,z'
loop_
_atom_site_label
_atom_site_type_symbol
_atom_site_fract_x
_atom_site_fract_y
_atom_site_fract_z
O1 O 0.500 0.633 0.919
P1 P 0.000 0.901 0.326
P2 P 0.000 0.099 0.826
Co1 Co 0.000 0.215 0.470
Ag1 Ag 0.500 0.310 0.039
Ag2 Ag 0.500 0.690 0.539
O2 O 0.500 0.367 0.419
Co2 Co 0.000 0.785 0.970
```

Summary:
DFT total energy	-4.653	eV per atom
SG	No. 26



The lowest DFT total energy belongs to which entry?
number 2



What is the DFT total energy in the second record?
-4.678 eV per atom